(1)
Here is a geometry-optimized Zr3Si2 structure from the Alexandria database. Energies are from PBE.

## Properties
The symmetry is No. 38. The total energy comes out at -160.600 eV/cell. The calculated volume is 19.03 A^3/atom. The value obtained for the formation energy from raw total energies is -0.7319 eV per atom. The density of states at the Fermi level is 3.85 states/eV/f.u.

Cell lengths 9.470, 3.972, 10.118 Å; angles 90.00, 90.00, 90.00 degrees
Sites, in units of the cell vectors:
Si 0.000 0.000 0.851
Zr 0.303 0.500 0.417
Zr 0.154 0.000 0.230
Si 0.500 0.500 0.966
Zr 0.000 0.500 0.034
Si 0.299 0.000 0.616
Zr 0.500 0.500 0.694
Si 0.701 0.000 0.616
Si 0.000 0.500 0.351
Zr 0.303 0.000 0.917
Si 0.299 0.500 0.116
Zr 0.154 0.500 0.730
Zr 0.846 0.000 0.230
Si 0.701 0.500 0.116
Si 0.500 0.000 0.466
Zr 0.846 0.500 0.730
Zr 0.500 0.000 0.194
Zr 0.697 0.500 0.417
Zr 0.697 0.000 0.917
Zr 0.000 0.000 0.534

(2)
Here is a geometry-optimized ZrSi5 structure from the Alexandria database. Energies are from PBE.

## Properties
The symmetry is No. 38. For the polymorph energy (0 for the lowest one), the calculation gives 87 meV/atom. The total energy comes out at -35.606 eV/cell. The calculated volume is 17.12 A^3/atom. The value obtained for the formation energy from raw total energies is 0.0095 eV per atom. The density of states at the Fermi level is 1.85 states/eV/f.u.

Cell lengths 8.188, 8.188, 3.628 Å; angles 90.00, 90.00, 155.02 degrees
Sites, in units of the cell vectors:
Zr 0.104 0.896 0.500
Si 0.969 0.031 0.000
Si 0.470 0.530 0.500
Si 0.766 0.234 0.500
Si 0.355 0.645 0.000
Si 0.670 0.330 0.000

(3)
Here is a geometry-optimized Zr4Si5 structure from the Alexandria database. Energies are from PBE.

## Properties
The symmetry is No. 139. For the polymorph energy (0 for the lowest one), the calculation gives 0 meV/atom. The total energy comes out at -66.272 eV/cell. The calculated volume is 18.22 A^3/atom. The value obtained for the formation energy from raw total energies is -0.5516 eV per atom. The density of states at the Fermi level is 5.37 states/eV/f.u.

Cell lengths 6.848, 6.848, 6.848 Å; angles 94.38, 94.38, 147.90 degrees
Sites, in units of the cell vectors:
Si 0.688 0.312 0.000
Si 0.688 0.688 0.376
Zr 0.000 0.712 0.712
Zr 0.000 0.288 0.288
Si 0.312 0.688 0.000
Zr 0.288 0.000 0.288
Si 0.000 0.000 0.000
Si 0.312 0.312 0.624
Zr 0.712 0.000 0.712

(4)
Here is a geometry-optimized Zr3Si2 structure from the Alexandria database. Energies are from PBE.

## Properties
The symmetry is No. 2. The total energy comes out at -80.692 eV/cell. The calculated volume is 19.09 A^3/atom. The value obtained for the formation energy from raw total energies is -0.7711 eV per atom. The density of states at the Fermi level is 3.01 states/eV/f.u.

Cell lengths 5.317, 5.363, 7.064 Å; angles 90.07, 100.94, 104.80 degrees
Sites, in units of the cell vectors:
Zr 0.392 0.335 0.811
Si 0.702 0.669 0.575
Si 0.442 0.120 0.176
Si 0.298 0.331 0.425
Zr 0.950 0.247 0.083
Zr 0.050 0.753 0.917
Zr 0.192 0.803 0.454
Zr 0.808 0.197 0.546
Zr 0.608 0.665 0.189
Si 0.558 0.880 0.824

(5)
Here is a geometry-optimized Zr3Si2 structure from the Alexandria database. Energies are from PBE.

## Properties
The symmetry is No. 166. The total energy comes out at -38.618 eV/cell. The calculated volume is 21.07 A^3/atom. The value obtained for the formation energy from raw total energies is -0.4256 eV per atom. The density of states at the Fermi level is 3.62 states/eV/f.u.

Cell lengths 8.916, 8.916, 8.916 Å; angles 24.28, 24.28, 24.28 degrees
Sites, in units of the cell vectors:
Zr 0.000 0.000 0.000
Zr 0.214 0.214 0.214
Si 0.395 0.395 0.395
Si 0.605 0.605 0.605
Zr 0.786 0.786 0.786

(6)
Here is a geometry-optimized Zr5Si4 structure from the Alexandria database. Energies are from PBE.

## Properties
The symmetry is No. 193. For the polymorph energy (0 for the lowest one), the calculation gives 93 meV/atom. The total energy comes out at -143.483 eV/cell. The calculated volume is 18.50 A^3/atom. The value obtained for the formation energy from raw total energies is -0.8121 eV per atom. The density of states at the Fermi level is 6.86 states/eV/f.u.

Cell lengths 8.215, 8.215, 5.697 Å; angles 90.00, 90.00, 120.00 degrees
Sites, in units of the cell vectors:
Si 0.392 0.392 0.750
Zr 0.333 0.667 0.500
Si 0.392 0.000 0.250
Si 0.608 0.000 0.750
Zr 0.000 0.270 0.750
Si 0.000 0.608 0.750
Zr 0.730 0.730 0.750
Zr 0.667 0.333 0.000
Zr 0.270 0.270 0.250
Zr 0.730 0.000 0.250
Zr 0.333 0.667 0.000
Si 0.000 0.392 0.250
Zr 0.000 0.730 0.250
Si 0.608 0.608 0.250
Zr 0.667 0.333 0.500
Zr 0.270 0.000 0.750
Si 0.000 0.000 0.500
Si 0.000 0.000 0.000

(7)
Here is a geometry-optimized ZrSi5 structure from the Alexandria database. Energies are from PBE.

## Properties
The symmetry is No. 191. For the polymorph energy (0 for the lowest one), the calculation gives 303 meV/atom. The total energy comes out at -34.310 eV/cell. The calculated volume is 15.63 A^3/atom. The value obtained for the formation energy from raw total energies is 0.2256 eV per atom. The density of states at the Fermi level is 2.87 states/eV/f.u.

Cell lengths 5.115, 5.115, 4.139 Å; angles 90.00, 90.00, 120.00 degrees
Sites, in units of the cell vectors:
Si 0.500 0.500 0.500
Si 0.333 0.667 0.000
Zr 0.000 0.000 0.000
Si 0.667 0.333 0.000
Si 0.000 0.500 0.500
Si 0.500 0.000 0.500

(8)
Here is a geometry-optimized ZrSi2 structure from the Alexandria database. Energies are from PBE.

## Properties
The symmetry is No. 164. The total energy comes out at -19.471 eV/cell. The calculated volume is 17.39 A^3/atom. The value obtained for the formation energy from raw total energies is -0.0256 eV per atom. The density of states at the Fermi level is 2.95 states/eV/f.u.

Cell lengths 3.059, 3.059, 6.441 Å; angles 90.00, 90.00, 120.00 degrees
Sites, in units of the cell vectors:
Si 0.667 0.333 0.649
Si 0.333 0.667 0.351
Zr 0.000 0.000 0.000

(9)
Here is a geometry-optimized ZrSi5 structure from the Alexandria database. Energies are from PBE.

## Properties
The symmetry is No. 123. For the polymorph energy (0 for the lowest one), the calculation gives 332 meV/atom. The total energy comes out at -34.135 eV/cell. The calculated volume is 15.76 A^3/atom. The value obtained for the formation energy from raw total energies is 0.2547 eV per atom. The density of states at the Fermi level is 3.66 states/eV/f.u.

Cell lengths 2.887, 2.887, 11.348 Å; angles 90.00, 90.00, 90.00 degrees
Sites, in units of the cell vectors:
Si 0.500 0.500 0.352
Si 0.500 0.500 0.648
Si 0.000 0.000 0.818
Zr 0.500 0.500 0.000
Si 0.000 0.000 0.182
Si 0.000 0.000 0.500

(10)
Here is a geometry-optimized Zr3Si2 structure from the Alexandria database. Energies are from PBE.

## Properties
The symmetry is No. 12. The total energy comes out at -160.765 eV/cell. The calculated volume is 19.17 A^3/atom. The value obtained for the formation energy from raw total energies is -0.7402 eV per atom. The density of states at the Fermi level is 2.73 states/eV/f.u.

Cell lengths 5.452, 3.733, 19.041 Å; angles 90.00, 98.41, 90.00 degrees
Sites, in units of the cell vectors:
Zr 0.000 0.000 0.000
Si 0.207 0.500 0.917
Zr 0.500 0.500 0.500
Zr 0.153 0.000 0.814
Zr 0.686 0.000 0.373
Zr 0.314 0.500 0.127
Zr 0.314 0.000 0.627
Si 0.793 0.000 0.583
Si 0.793 0.500 0.083
Si 0.207 0.000 0.417
Si 0.644 0.000 0.768
Zr 0.153 0.500 0.314
Si 0.644 0.500 0.268
Si 0.356 0.000 0.232
Zr 0.847 0.000 0.186
Zr 0.500 0.000 0.000
Si 0.356 0.500 0.732
Zr 0.847 0.500 0.686
Zr 0.000 0.500 0.500
Zr 0.686 0.500 0.873

(11)
Here is a geometry-optimized ZrSi2 structure from the Alexandria database. Energies are from PBE.

## Properties
The symmetry is No. 65. The total energy comes out at -84.262 eV/cell. The calculated volume is 17.06 A^3/atom. The value obtained for the formation energy from raw total energies is -0.5571 eV per atom. The density of states at the Fermi level is 0.82 states/eV/f.u.

Cell lengths 3.658, 15.200, 3.682 Å; angles 90.00, 90.00, 90.00 degrees
Sites, in units of the cell vectors:
Si 0.500 0.000 0.000
Si 0.000 0.000 0.500
Si 0.000 0.802 0.000
Zr 0.500 0.854 0.500
Zr 0.500 0.146 0.500
Si 0.000 0.198 0.000
Si 0.500 0.698 0.000
Zr 0.000 0.354 0.500
Zr 0.000 0.646 0.500
Si 0.500 0.500 0.500
Si 0.500 0.302 0.000
Si 0.000 0.500 0.000

(12)
Here is a geometry-optimized ZrSi2 structure from the Alexandria database. Energies are from PBE.

## Properties
The symmetry is No. 71. The total energy comes out at -19.317 eV/cell. The calculated volume is 18.73 A^3/atom. The value obtained for the formation energy from raw total energies is 0.0256 eV per atom. The density of states at the Fermi level is 1.71 states/eV/f.u.

Cell lengths 4.659, 4.659, 4.659 Å; angles 142.88, 108.35, 83.56 degrees
Sites, in units of the cell vectors:
Si 0.665 0.165 0.500
Zr 0.000 0.000 0.000
Si 0.335 0.835 0.500

(13)
Here is a geometry-optimized Zr4Si structure from the Alexandria database. Energies are from PBE.

## Properties
The symmetry is No. 87. For the polymorph energy (0 for the lowest one), the calculation gives 0 meV/atom. The total energy comes out at -40.724 eV/cell. The calculated volume is 20.96 A^3/atom. The value obtained for the formation energy from raw total energies is -0.2216 eV per atom. The density of states at the Fermi level is 7.12 states/eV/f.u.

Cell lengths 5.568, 5.568, 5.568 Å; angles 96.81, 96.81, 139.73 degrees
Sites, in units of the cell vectors:
Zr 0.590 0.782 0.373
Zr 0.218 0.590 0.808
Zr 0.410 0.218 0.627
Si 0.000 0.000 0.000
Zr 0.782 0.410 0.192

(14)
Here is a geometry-optimized Zr4Si structure from the Alexandria database. Energies are from PBE.

## Properties
The symmetry is No. 139. For the polymorph energy (0 for the lowest one), the calculation gives 673 meV/atom. The total energy comes out at -37.357 eV/cell. The calculated volume is 22.72 A^3/atom. The value obtained for the formation energy from raw total energies is 0.4518 eV per atom. The density of states at the Fermi level is 5.67 states/eV/f.u.

Cell lengths 7.975, 7.975, 7.975 Å; angles 151.72, 151.72, 40.42 degrees
Sites, in units of the cell vectors:
Si 0.000 0.000 0.000
Zr 0.417 0.417 0.000
Zr 0.250 0.750 0.500
Zr 0.583 0.583 0.000
Zr 0.750 0.250 0.500

(15)
Here is a geometry-optimized Zr7Si6 structure from the Alexandria database. Energies are from PBE.

## Properties
The symmetry is No. 166. The total energy comes out at -91.880 eV/cell. The calculated volume is 21.46 A^3/atom. The value obtained for the formation energy from raw total energies is 0.0381 eV per atom. The density of states at the Fermi level is 15.12 states/eV/f.u.

Cell lengths 9.618, 9.618, 9.618 Å; angles 36.29, 36.29, 36.29 degrees
Sites, in units of the cell vectors:
Si 0.667 0.667 0.667
Si 0.834 0.834 0.834
Zr 0.076 0.578 0.578
Zr 0.578 0.578 0.076
Si 0.076 0.076 0.076
Si 0.166 0.166 0.166
Zr 0.578 0.076 0.578
Zr 0.924 0.422 0.422
Si 0.924 0.924 0.924
Zr 0.500 0.500 0.500
Zr 0.422 0.422 0.924
Zr 0.422 0.924 0.422
Si 0.333 0.333 0.333

(16)
Here is a geometry-optimized ZrSi4 structure from the Alexandria database. Energies are from PBE.

## Properties
The symmetry is No. 221. For the polymorph energy (0 for the lowest one), the calculation gives 845 meV/atom. The total energy comes out at -24.508 eV/cell. The calculated volume is 25.65 A^3/atom. The value obtained for the formation energy from raw total energies is 1.1465 eV per atom. The density of states at the Fermi level is 3.34 states/eV/f.u.

Cell lengths 5.043, 5.043, 5.043 Å; angles 90.00, 90.00, 90.00 degrees
Sites, in units of the cell vectors:
Zr 0.500 0.500 0.500
Si 0.500 0.000 0.500
Si 0.000 0.000 0.000
Si 0.500 0.500 0.000
Si 0.000 0.500 0.500

(17)
Here is a geometry-optimized ZrSi2 structure from the Alexandria database. Energies are from PBE.

## Properties
The symmetry is No. 140. The total energy comes out at -40.759 eV/cell. The calculated volume is 18.62 A^3/atom. The value obtained for the formation energy from raw total energies is -0.3285 eV per atom. The density of states at the Fermi level is 0.72 states/eV/f.u.

Cell lengths 5.509, 5.509, 5.509 Å; angles 123.29, 123.29, 84.40 degrees
Sites, in units of the cell vectors:
Si 0.262 0.238 0.500
Zr 0.250 0.250 0.000
Zr 0.750 0.750 0.000
Si 0.738 0.762 0.500
Si 0.238 0.738 0.976
Si 0.762 0.262 0.024

(18)
Here is a geometry-optimized ZrSi5 structure from the Alexandria database. Energies are from PBE.

## Properties
The symmetry is No. 189. For the polymorph energy (0 for the lowest one), the calculation gives 167 meV/atom. The total energy comes out at -35.128 eV/cell. The calculated volume is 15.78 A^3/atom. The value obtained for the formation energy from raw total energies is 0.0893 eV per atom. The density of states at the Fermi level is 2.64 states/eV/f.u.

Cell lengths 4.868, 4.868, 4.612 Å; angles 90.00, 90.00, 120.00 degrees
Sites, in units of the cell vectors:
Si 0.667 0.333 0.500
Si 0.000 0.676 0.000
Si 0.324 0.324 0.000
Si 0.333 0.667 0.500
Si 0.676 0.000 0.000
Zr 0.000 0.000 0.500

(19)
Here is a geometry-optimized Zr3Si2 structure from the Alexandria database. Energies are from PBE.

## Properties
The symmetry is No. 43. The total energy comes out at -78.343 eV/cell. The calculated volume is 19.50 A^3/atom. The value obtained for the formation energy from raw total energies is -0.5362 eV per atom. The density of states at the Fermi level is 3.24 states/eV/f.u.

Cell lengths 8.094, 7.507, 5.499 Å; angles 75.22, 63.72, 41.06 degrees
Sites, in units of the cell vectors:
Si 0.024 0.371 0.925
Zr 0.871 0.835 0.770
Zr 0.151 0.349 0.349
Si 0.680 0.925 0.371
Zr 0.415 0.379 0.726
Si 0.879 0.226 0.570
Zr 0.901 0.099 0.099
Zr 0.480 0.726 0.379
Si 0.325 0.570 0.226
Zr 0.524 0.770 0.835

(20)
Here is a geometry-optimized Zr4Si structure from the Alexandria database. Energies are from PBE.

## Properties
The symmetry is No. 221. For the polymorph energy (0 for the lowest one), the calculation gives 409 meV/atom. The total energy comes out at -38.677 eV/cell. The calculated volume is 24.82 A^3/atom. The value obtained for the formation energy from raw total energies is 0.1878 eV per atom. The density of states at the Fermi level is 9.29 states/eV/f.u.

Cell lengths 4.988, 4.988, 4.988 Å; angles 90.00, 90.00, 90.00 degrees
Sites, in units of the cell vectors:
Zr 0.500 0.000 0.500
Zr 0.000 0.500 0.500
Zr 0.500 0.500 0.000
Si 0.500 0.500 0.500
Zr 0.000 0.000 0.000